1.
La3PrSmTm: optimized geometry, PBE-GGA.

a = 8.1547 Å, b = 5.2370 Å, c = 10.4558 Å
α = 90.00°, β = 108.76°, γ = 90.00°
Sites, in units of the cell vectors:
La 0.1695 0.2500 0.0424
La 0.1715 0.2500 0.5427
La 0.1733 0.7500 0.2944
La 0.8267 0.2500 0.7056
La 0.8285 0.7500 0.4573
La 0.8305 0.7500 0.9576
Pr 0.1698 0.7500 0.7913
Pr 0.8302 0.2500 0.2087
Sm 0.4989 0.7500 0.1254
Sm 0.5011 0.2500 0.8746
Tm 0.4991 0.7500 0.6240
Tm 0.5009 0.2500 0.3760

Computed properties:
N(E_F)   1.83 states/eV per atom
Spin magnetization   0.00 μB/cell
Crystal system   monoclinic
DFT formation energy   26.9 meV per atom
Space-group type   P2_1/m, No. 11

2.
LaPrSmTm: optimized geometry, PBE-GGA.

a = 5.8013 Å, b = 5.8013 Å, c = 5.8013 Å
α = 60.00°, β = 60.00°, γ = 60.00°
Sites, in units of the cell vectors:
La 0.0000 0.0000 0.0000
Pr 0.5000 0.5000 0.5000
Sm 0.7500 0.7500 0.7500
Tm 0.2500 0.2500 0.2500

Computed properties:
N(E_F)   1.94 states/eV per atom
Spin magnetization   0.00 μB/cell
Crystal system   cubic
Energy relative to the lowest polymorph listed for this composition   0.28 eV per formula unit
DFT formation energy   104.5 meV per atom
Space-group type   F-43m, No. 216

3.
LaPr2Sm5Tm: optimized geometry, PBE-GGA.

a = 10.1374 Å, b = 10.1374 Å, c = 10.1374 Å
α = 128.11°, β = 128.11°, γ = 76.45°
Sites, in units of the cell vectors:
La 0.2500 0.2500 0.0000
La 0.7500 0.7500 0.0000
Pr 0.1183 0.6183 0.7366
Pr 0.3817 0.1183 0.5000
Pr 0.6183 0.8817 0.5000
Pr 0.8817 0.3817 0.2634
Sm 0.0000 0.0000 0.0000
Sm 0.0713 0.1520 0.5000
Sm 0.1520 0.6520 0.0806
Sm 0.3480 0.4287 0.5000
Sm 0.4287 0.9287 0.0806
Sm 0.5000 0.5000 0.0000
Sm 0.5713 0.0713 0.9194
Sm 0.6520 0.5713 0.5000
Sm 0.8480 0.3480 0.9194
Sm 0.9287 0.8480 0.5000
Tm 0.2500 0.7500 0.5000
Tm 0.7500 0.2500 0.5000

Computed properties:
N(E_F)   1.38 states/eV per atom
Spin magnetization   0.00 μB/cell
Crystal system   tetragonal
DFT formation energy   264.5 meV per atom
Space-group type   I4/mcm, No. 140

4.
LaPrSmTm3: optimized geometry, PBE-GGA.

a = 6.4610 Å, b = 6.4610 Å, c = 11.7613 Å
α = 90.00°, β = 90.00°, γ = 125.94°
Sites, in units of the cell vectors:
La 0.0069 0.9931 0.7500
La 0.9931 0.0069 0.2500
Pr 0.5000 0.5000 0.0000
Pr 0.5000 0.5000 0.5000
Sm 0.3218 0.6782 0.7500
Sm 0.6782 0.3218 0.2500
Tm 0.1743 0.8257 0.0058
Tm 0.1743 0.8257 0.4942
Tm 0.3305 0.6695 0.2500
Tm 0.6695 0.3305 0.7500
Tm 0.8257 0.1743 0.5058
Tm 0.8257 0.1743 0.9942

Computed properties:
N(E_F)   1.96 states/eV per atom
Spin magnetization   0.00 μB/cell
Crystal system   orthorhombic
DFT formation energy   107.2 meV per atom
Space-group type   Cmcm, No. 63

5.
La3PrSm2Tm6: optimized geometry, PBE-GGA.

a = 6.2576 Å, b = 6.2576 Å, c = 11.5108 Å
α = 90.02°, β = 90.02°, γ = 119.96°
Sites, in units of the cell vectors:
La 0.0000 0.0000 0.0000
La 0.3334 0.6666 0.0000
La 0.6666 0.3334 0.0000
Pr 0.0000 0.0000 0.5000
Sm 0.3334 0.6666 0.5000
Sm 0.6666 0.3334 0.5000
Tm 0.0022 0.3356 0.7479
Tm 0.3316 0.3316 0.2520
Tm 0.3356 0.0022 0.7479
Tm 0.6644 0.9978 0.2521
Tm 0.6684 0.6684 0.7480
Tm 0.9978 0.6644 0.2521

Computed properties:
N(E_F)   1.21 states/eV per atom
Spin magnetization   0.00 μB/cell
Crystal system   monoclinic
DFT formation energy   3.4 meV per atom
Space-group type   C2/m, No. 12

6.
La2Pr4SmY2: optimized geometry, PBE-GGA.

a = 9.8090 Å, b = 9.8090 Å, c = 9.8650 Å
α = 115.27°, β = 115.27°, γ = 21.85°
Sites, in units of the cell vectors:
La 0.1663 0.1663 0.4991
La 0.8337 0.8337 0.5009
Pr 0.0182 0.0182 0.8352
Pr 0.3143 0.3143 0.1671
Pr 0.6857 0.6857 0.8329
Pr 0.9818 0.9818 0.1648
Sm 0.5000 0.5000 0.5000
Y 0.3518 0.3518 0.8333
Y 0.6482 0.6482 0.1667

Computed properties:
N(E_F)   1.46 states/eV per atom
Spin magnetization   0.00 μB/cell
Crystal system   monoclinic
DFT formation energy   4.8 meV per atom
Space-group type   C2/m, No. 12